[1]
Material: SiRhI2Cl
Method: DFT, PBE-GGA
State: optimized geometry

N(E_F) ... 8.557 states/eV per cell
Magnetization ... 1.8 μB/f.u.
E ... -0.16751 Ry per atom
Formation energy without anion corrections ... 1.27 eV per atom

CIF file:
```
data_SiRhI2Cl
_space_group_name_H-M_alt 'P 4/m m m'
_space_group_IT_number 123
_space_group_name_Hall '-P 4 2'
_cell_length_a 6.2543
_cell_length_b 6.2543
_cell_length_c 4.5360
_cell_angle_alpha 90.00
_cell_angle_beta 90.00
_cell_angle_gamma 90.00
loop_
_atom_site_label
_atom_site_type_symbol
_atom_site_fract_x
_atom_site_fract_y
_atom_site_fract_z
Si1 Si 0.0000 0.0000 0.0000
Rh1 Rh 0.5000 0.5000 0.0000
I1 I 0.0000 0.5000 0.5000
Cl1 Cl 0.0000 0.0000 0.5000
```

[2]
Material: TcRhICl2
Method: DFT, PBE-GGA
State: optimized geometry

N(E_F) ... 11.157 states/eV per cell
Magnetization ... 5.1 μB/f.u.
E ... -0.22069 Ry per atom
Formation energy without anion corrections ... 1.59 eV per atom

CIF file:
```
data_TcRhICl2
_space_group_name_H-M_alt 'P 4/m m m'
_space_group_IT_number 123
_space_group_name_Hall '-P 4 2'
_cell_length_a 5.7566
_cell_length_b 5.7566
_cell_length_c 5.0646
_cell_angle_alpha 90.00
_cell_angle_beta 90.00
_cell_angle_gamma 90.00
loop_
_atom_site_label
_atom_site_type_symbol
_atom_site_fract_x
_atom_site_fract_y
_atom_site_fract_z
Tc1 Tc 0.0000 0.0000 0.0000
Rh1 Rh 0.5000 0.5000 0.0000
I1 I 0.0000 0.0000 0.5000
Cl1 Cl 0.0000 0.5000 0.5000
```

[3]
Material: TeRhI2Cl
Method: DFT, PBE-GGA
State: optimized geometry

N(E_F) ... 9.533 states/eV per cell
Magnetization ... 2.4 μB/f.u.
E ... -0.14061 Ry per atom
Formation energy without anion corrections ... 1.17 eV per atom

CIF file:
```
data_TeRhI2Cl
_space_group_name_H-M_alt 'P 4/m m m'
_space_group_IT_number 123
_space_group_name_Hall '-P 4 2'
_cell_length_a 5.5693
_cell_length_b 5.5693
_cell_length_c 5.5085
_cell_angle_alpha 90.00
_cell_angle_beta 90.00
_cell_angle_gamma 90.00
loop_
_atom_site_label
_atom_site_type_symbol
_atom_site_fract_x
_atom_site_fract_y
_atom_site_fract_z
Te1 Te 0.0000 0.0000 0.0000
Rh1 Rh 0.5000 0.5000 0.0000
I1 I 0.0000 0.5000 0.5000
Cl1 Cl 0.0000 0.0000 0.5000
```

[4]
Material: TeRhI2Cl
Method: DFT, PBE-GGA
State: optimized geometry

N(E_F) ... 7.402 states/eV per cell
Magnetization ... 0.0 μB/f.u.
E ... -0.20971 Ry per atom
Formation energy without anion corrections ... 0.23 eV per atom

CIF file:
```
data_TeRhI2Cl
_space_group_name_H-M_alt 'P 4/m m m'
_space_group_IT_number 123
_space_group_name_Hall '-P 4 2'
_cell_length_a 5.4936
_cell_length_b 5.4936
_cell_length_c 5.0674
_cell_angle_alpha 90.00
_cell_angle_beta 90.00
_cell_angle_gamma 90.00
loop_
_atom_site_label
_atom_site_type_symbol
_atom_site_fract_x
_atom_site_fract_y
_atom_site_fract_z
Te1 Te 0.0000 0.0000 0.0000
Rh1 Rh 0.0000 0.0000 0.5000
I1 I 0.0000 0.5000 0.5000
Cl1 Cl 0.5000 0.5000 0.0000
```

[5]
Material: TlRhICl2
Method: DFT, PBE-GGA
State: optimized geometry

N(E_F) ... 2.354 states/eV per cell
Magnetization ... 0.0 μB/f.u.
E ... -0.25233 Ry per atom
Formation energy without anion corrections ... -0.44 eV per atom

CIF file:
```
data_TlRhICl2
_space_group_name_H-M_alt 'P 4/m m m'
_space_group_IT_number 123
_space_group_name_Hall '-P 4 2'
_cell_length_a 4.9446
_cell_length_b 4.9446
_cell_length_c 5.4619
_cell_angle_alpha 90.00
_cell_angle_beta 90.00
_cell_angle_gamma 90.00
loop_
_atom_site_label
_atom_site_type_symbol
_atom_site_fract_x
_atom_site_fract_y
_atom_site_fract_z
Tl1 Tl 0.0000 0.0000 0.0000
Rh1 Rh 0.5000 0.5000 0.5000
I1 I 0.5000 0.5000 0.0000
Cl1 Cl 0.0000 0.5000 0.5000
```

[6]
Material: TlRhI2Cl
Method: DFT, PBE-GGA
State: optimized geometry

N(E_F) ... 2.809 states/eV per cell
Magnetization ... 0.0 μB/f.u.
E ... -0.23923 Ry per atom
Formation energy without anion corrections ... -0.32 eV per atom

CIF file:
```
data_TlRhI2Cl
_space_group_name_H-M_alt 'P 4/m m m'
_space_group_IT_number 123
_space_group_name_Hall '-P 4 2'
_cell_length_a 5.5267
_cell_length_b 5.5267
_cell_length_c 4.8806
_cell_angle_alpha 90.00
_cell_angle_beta 90.00
_cell_angle_gamma 90.00
loop_
_atom_site_label
_atom_site_type_symbol
_atom_site_fract_x
_atom_site_fract_y
_atom_site_fract_z
Tl1 Tl 0.0000 0.0000 0.0000
Rh1 Rh 0.5000 0.5000 0.5000
I1 I 0.0000 0.5000 0.5000
Cl1 Cl 0.5000 0.5000 0.0000
```

[7]
Material: RuICl6
Method: DFT, PBE-GGA
State: optimized geometry

Magnetization ... 3.0 μB/f.u.
E ... -0.22490 Ry per atom
Formation energy without anion corrections ... -0.32 eV per atom

CIF file:
```
data_RuICl6
_space_group_name_H-M_alt 'C 1 2/c 1'
_space_group_IT_number 15
_space_group_name_Hall '-C 2yc'
_cell_length_a 11.4392
_cell_length_b 8.3635
_cell_length_c 11.8578
_cell_angle_alpha 90.00
_cell_angle_beta 91.48
_cell_angle_gamma 90.00
loop_
_atom_site_label
_atom_site_type_symbol
_atom_site_fract_x
_atom_site_fract_y
_atom_site_fract_z
Ru1 Ru 0.2500 0.2500 0.0000
I1 I 0.0000 0.2478 0.2500
Cl1 Cl 0.0446 0.2464 0.0391
Cl2 Cl 0.2018 0.2627 0.8116
Cl3 Cl 0.2505 0.0236 0.4904
```

[8]
Material: RuI2Cl5
Method: DFT, PBE-GGA
State: optimized geometry

N(E_F) ... 7.185 states/eV per cell
Magnetization ... 3.2 μB/f.u.
E ... -0.21562 Ry per atom
Formation energy without anion corrections ... -0.23 eV per atom

CIF file:
```
data_RuI2Cl5
_space_group_name_H-M_alt 'C 1 m 1'
_space_group_IT_number 8
_space_group_name_Hall 'C -2y'
_cell_length_a 5.5467
_cell_length_b 14.9787
_cell_length_c 7.8433
_cell_angle_alpha 90.00
_cell_angle_beta 106.76
_cell_angle_gamma 90.00
loop_
_atom_site_label
_atom_site_type_symbol
_atom_site_fract_x
_atom_site_fract_y
_atom_site_fract_z
Ru1 Ru 0.0000 0.0000 0.0000
I1 I 0.4449 0.2222 0.4993
Cl1 Cl 0.0565 0.0000 0.3004
Cl2 Cl 0.3214 0.5000 0.6991
Cl3 Cl 0.4059 0.0000 0.0046
Cl4 Cl 0.4395 0.3494 0.0002
```

[9]
Material: Ru3ICl
Method: DFT, PBE-GGA
State: optimized geometry

N(E_F) ... 6.737 states/eV per cell
Magnetization ... 2.7 μB/f.u.
E ... -0.35533 Ry per atom
Formation energy without anion corrections ... 1.41 eV per atom

CIF file:
```
data_Ru3ICl
_space_group_name_H-M_alt 'P m -3 m'
_space_group_IT_number 221
_space_group_name_Hall '-P 4 2 3'
_cell_length_a 4.5094
_cell_length_b 4.5094
_cell_length_c 4.5094
_cell_angle_alpha 90.00
_cell_angle_beta 90.00
_cell_angle_gamma 90.00
loop_
_atom_site_label
_atom_site_type_symbol
_atom_site_fract_x
_atom_site_fract_y
_atom_site_fract_z
Ru1 Ru 0.0000 0.0000 0.5000
I1 I 0.5000 0.5000 0.5000
Cl1 Cl 0.0000 0.0000 0.0000
```

[10]
Material: RuI3Cl
Method: DFT, PBE-GGA
State: optimized geometry

N(E_F) ... 3.087 states/eV per cell
Magnetization ... 2.1 μB/f.u.
E ... -0.24017 Ry per atom
Formation energy without anion corrections ... -0.11 eV per atom

CIF file:
```
data_RuI3Cl
_space_group_name_H-M_alt 'P 1 21/m 1'
_space_group_IT_number 11
_space_group_name_Hall '-P 2yb'
_cell_length_a 6.6410
_cell_length_b 8.0496
_cell_length_c 6.6630
_cell_angle_alpha 90.00
_cell_angle_beta 98.15
_cell_angle_gamma 90.00
loop_
_atom_site_label
_atom_site_type_symbol
_atom_site_fract_x
_atom_site_fract_y
_atom_site_fract_z
Ru1 Ru 0.0069 0.2500 0.0068
I1 I 0.1833 0.0000 0.8182
I2 I 0.3072 0.2500 0.3076
Cl1 Cl 0.2604 0.7500 0.2604
```

[11]
Material: RuICl4
Method: DFT, PBE-GGA
State: optimized geometry

N(E_F) ... 12.690 states/eV per cell
Magnetization ... 2.7 μB/f.u.
E ... -0.23744 Ry per atom
Formation energy without anion corrections ... -0.20 eV per atom

CIF file:
```
data_RuICl4
_space_group_name_H-M_alt 'C 1 2/m 1'
_space_group_IT_number 12
_space_group_name_Hall '-C 2y'
_cell_length_a 14.1810
_cell_length_b 11.5073
_cell_length_c 7.4125
_cell_angle_alpha 90.00
_cell_angle_beta 121.43
_cell_angle_gamma 90.00
loop_
_atom_site_label
_atom_site_type_symbol
_atom_site_fract_x
_atom_site_fract_y
_atom_site_fract_z
Ru1 Ru 0.2497 0.0000 0.0332
I1 I 0.2504 0.0000 0.6822
Cl1 Cl 0.0615 0.0000 0.8337
Cl2 Cl 0.0619 0.5000 0.7886
Cl3 Cl 0.2494 0.1505 0.2260
```

[12]
Material: Ru2ICl
Method: DFT, PBE-GGA
State: optimized geometry

N(E_F) ... 7.818 states/eV per cell
Magnetization ... 0.0 μB/f.u.
E ... -0.35048 Ry per atom
Formation energy without anion corrections ... 0.72 eV per atom

CIF file:
```
data_Ru2ICl
_space_group_name_H-M_alt 'I -4 2 d'
_space_group_IT_number 122
_space_group_name_Hall 'I -4 2bw'
_cell_length_a 4.7290
_cell_length_b 4.7290
_cell_length_c 14.9429
_cell_angle_alpha 90.00
_cell_angle_beta 90.00
_cell_angle_gamma 90.00
loop_
_atom_site_label
_atom_site_type_symbol
_atom_site_fract_x
_atom_site_fract_y
_atom_site_fract_z
Ru1 Ru 0.1367 0.2500 0.1250
I1 I 0.0000 0.0000 0.5000
Cl1 Cl 0.0000 0.0000 0.0000
```